(1)
# TiPt3Cl PBE-GGA relaxed
# * energy relative to the lowest polymorph listed for this composition: 0 meV/atom
# * uncorrected formation energy: 0.76 eV per atom
# * total magnetic moment: 0.00 μB/atom
# * crystal system: cubic
data_TiPt3Cl
_cell_length_a 4.759
_cell_length_b 4.759
_cell_length_c 4.759
_cell_angle_alpha 90.00
_cell_angle_beta 90.00
_cell_angle_gamma 90.00
_space_group_name_H-M_alt 'P m -3 m'
_space_group_IT_number 221
_space_group_name_Hall '-P 4 2 3'
loop_
_atom_site_label
_atom_site_fract_x
_atom_site_fract_y
_atom_site_fract_z
Ti1 0.000 0.000 0.000
Pt1 0.000 0.000 0.500
Cl1 0.500 0.500 0.500


(2)
# TaTiOs3 PBE-GGA relaxed
# * energy relative to the lowest polymorph listed for this composition: 0 meV/atom
# * total magnetic moment: 0.00 μB/atom
# * formation energy from the elements: 7.153 eV per formula unit
# * crystal system: cubic
data_TaTiOs3
_cell_length_a 4.477
_cell_length_b 4.477
_cell_length_c 4.477
_cell_angle_alpha 90.00
_cell_angle_beta 90.00
_cell_angle_gamma 90.00
_space_group_name_H-M_alt 'P m -3 m'
_space_group_IT_number 221
_space_group_name_Hall '-P 4 2 3'
loop_
_atom_site_label
_atom_site_fract_x
_atom_site_fract_y
_atom_site_fract_z
Ta1 0.000 0.000 0.000
Ti1 0.500 0.500 0.500
Os1 0.000 0.500 0.500